FeReO: optimized geometry, PBE with a Hubbard U.

For the theoretical density, the calculation gives 11.7 Mg/m³. Its raw total energy is -8.269 eV/atom.

The structure belongs to space group P4/nmm (No. 129, origin choice 2); the cell edges are 3.106, 3.106 and 7.587 Å and the angles 90.00°, 90.00° and 90.00°. The distinct sites, in fractional coordinates, are Fe at (0.250, 0.250, 0.155), Re at (0.250, 0.250, 0.590) and O at (0.250, 0.250, 0.869).